Entry 1:
# Sm4Cd3Cu (PBE, relaxed)
data_Sm4Cd3Cu
_chemical_formula_sum 'Sm4 Cd3 Cu1'
_cell_length_a 3.706
_cell_length_b 3.706
_cell_length_c 15.379
_cell_angle_alpha 90.00
_cell_angle_beta 90.00
_cell_angle_gamma 90.00
_space_group_name_H-M_alt 'P 1'
_space_group_IT_number 1
loop_
_space_group_symop_operation_xyz
'x,y,z'
loop_
_atom_site_label
_atom_site_fract_x
_atom_site_fract_y
_atom_site_fract_z
Sm1 0.000 0.000 0.630
Sm2 0.000 0.000 0.109
Sm3 0.000 0.000 0.891
Sm4 0.000 0.000 0.370
Cd1 0.500 0.500 0.758
Cd2 0.500 0.500 0.242
Cd3 0.500 0.500 0.500
Cu1 0.500 0.500 0.000
# energy of formation from the pure elements = -271 meV/atom
# symmetry = No. 123

Entry 2:
# ZrTaFeOs (PBE, relaxed)
data_ZrTaFeOs
_chemical_formula_sum 'Zr1 Ta1 Fe1 Os1'
_cell_length_a 3.163
_cell_length_b 3.163
_cell_length_c 6.482
_cell_angle_alpha 90.00
_cell_angle_beta 90.00
_cell_angle_gamma 90.00
_space_group_name_H-M_alt 'P 1'
_space_group_IT_number 1
loop_
_space_group_symop_operation_xyz
'x,y,z'
loop_
_atom_site_label
_atom_site_fract_x
_atom_site_fract_y
_atom_site_fract_z
Ta1 0.000 0.000 0.367
Zr1 0.000 0.000 0.849
Os1 0.500 0.500 0.122
Fe1 0.500 0.500 0.589
# energy of formation from the pure elements = -300 meV/atom
# symmetry = No. 99

Entry 3:
# K3Rb4AgBr8 (PBE, relaxed)
data_K3Rb4AgBr8
_chemical_formula_sum 'K3 Rb4 Ag1 Br8'
_cell_length_a 9.452
_cell_length_b 9.516
_cell_length_c 9.570
_cell_angle_alpha 119.86
_cell_angle_beta 119.59
_cell_angle_gamma 90.00
_space_group_name_H-M_alt 'P 1'
_space_group_IT_number 1
loop_
_space_group_symop_operation_xyz
'x,y,z'
loop_
_atom_site_label
_atom_site_fract_x
_atom_site_fract_y
_atom_site_fract_z
K1 0.500 0.500 0.500
K2 0.000 0.500 0.500
K3 0.500 0.500 0.000
Ag1 0.000 0.500 0.000
Rb1 0.500 0.000 0.000
Rb2 0.000 0.000 0.000
Rb3 0.000 0.000 0.500
Rb4 0.500 0.000 0.500
Br1 0.231 0.283 0.007
Br2 0.224 0.717 0.993
Br3 0.254 0.263 0.508
Br4 0.746 0.737 0.492
Br5 0.749 0.257 0.498
Br6 0.769 0.717 0.993
Br7 0.251 0.743 0.502
Br8 0.776 0.283 0.007
# formation energy (no corrections) = -35.53 kcal/mol of atoms
# symmetry = No. 12

Entry 4:
# Ti3GaGe2 (PBE, relaxed)
data_Ti3GaGe2
_chemical_formula_sum 'Ti12 Ga4 Ge8'
_cell_length_a 3.817
_cell_length_b 9.749
_cell_length_c 10.612
_cell_angle_alpha 90.00
_cell_angle_beta 90.00
_cell_angle_gamma 90.00
_space_group_name_H-M_alt 'P 1'
_space_group_IT_number 1
loop_
_space_group_symop_operation_xyz
'x,y,z'
loop_
_atom_site_label
_atom_site_fract_x
_atom_site_fract_y
_atom_site_fract_z
Ge1 0.750 0.485 0.182
Ge2 0.250 0.703 0.500
Ge3 0.750 0.203 0.000
Ge4 0.750 0.297 0.500
Ge5 0.750 0.015 0.682
Ge6 0.250 0.797 0.000
Ge7 0.250 0.515 0.818
Ge8 0.250 0.985 0.318
Ti1 0.750 0.209 0.273
Ti2 0.250 0.079 0.863
Ti3 0.750 0.921 0.137
Ti4 0.250 0.116 0.542
Ti5 0.750 0.579 0.637
Ti6 0.250 0.384 0.042
Ti7 0.250 0.791 0.727
Ti8 0.750 0.616 0.958
Ti9 0.750 0.884 0.458
Ti10 0.250 0.421 0.363
Ti11 0.250 0.709 0.227
Ti12 0.750 0.291 0.773
Ga1 0.750 0.617 0.378
Ga2 0.250 0.383 0.622
Ga3 0.250 0.117 0.122
Ga4 0.750 0.883 0.878
# energy of formation from the pure elements = -430 meV/atom
# symmetry = No. 62
# offset from the most stable computed form = 0.0000 eV per atom

Entry 5:
# Li2ZrNi2 (PBE, relaxed)
data_Li2ZrNi2
_chemical_formula_sum 'Li2 Zr1 Ni2'
_cell_length_a 3.430
_cell_length_b 3.430
_cell_length_c 6.746
_cell_angle_alpha 75.27
_cell_angle_beta 75.27
_cell_angle_gamma 90.00
_space_group_name_H-M_alt 'P 1'
_space_group_IT_number 1
loop_
_space_group_symop_operation_xyz
'x,y,z'
loop_
_atom_site_label
_atom_site_fract_x
_atom_site_fract_y
_atom_site_fract_z
Ni1 0.596 0.596 0.809
Ni2 0.404 0.404 0.191
Li1 0.750 0.250 0.500
Li2 0.250 0.750 0.500
Zr1 0.000 0.000 0.000
# energy of formation from the pure elements = -111 meV/atom
# symmetry = No. 139
# offset from the most stable computed form = 0.0000 eV per atom

Entry 6:
# CeCo4Ni2 (PBE, relaxed)
data_CeCo4Ni2
_chemical_formula_sum 'Ce1 Co4 Ni2'
_cell_length_a 4.867
_cell_length_b 4.965
_cell_length_c 4.965
_cell_angle_alpha 76.02
_cell_angle_beta 60.60
_cell_angle_gamma 60.60
_space_group_name_H-M_alt 'P 1'
_space_group_IT_number 1
loop_
_space_group_symop_operation_xyz
'x,y,z'
loop_
_atom_site_label
_atom_site_fract_x
_atom_site_fract_y
_atom_site_fract_z
Co1 0.698 0.603 0.000
Co2 0.302 0.000 0.397
Co3 0.698 0.000 0.603
Co4 0.302 0.397 0.000
Ni1 0.750 0.500 0.500
Ni2 0.250 0.500 0.500
Ce1 0.000 0.000 0.000
# energy of formation from the pure elements = -87 meV/atom
# symmetry = No. 139

Entry 7:
# Cs3IrF8 (PBE, relaxed)
data_Cs3IrF8
_chemical_formula_sum 'Cs3 Ir1 F8'
_cell_length_a 7.262
_cell_length_b 6.925
_cell_length_c 7.262
_cell_angle_alpha 58.38
_cell_angle_beta 90.00
_cell_angle_gamma 121.62
_space_group_name_H-M_alt 'P 1'
_space_group_IT_number 1
loop_
_space_group_symop_operation_xyz
'x,y,z'
loop_
_atom_site_label
_atom_site_fract_x
_atom_site_fract_y
_atom_site_fract_z
F1 0.742 0.863 0.879
F2 0.057 0.362 0.696
F3 0.879 0.137 0.121
F4 0.258 0.137 0.742
F5 0.304 0.362 0.943
F6 0.943 0.638 0.057
F7 0.696 0.638 0.304
F8 0.121 0.863 0.258
Cs1 0.250 0.500 0.250
Cs2 0.750 0.500 0.750
Cs3 0.500 0.000 0.500
Ir1 0.000 0.000 0.000
# formation energy (no corrections) = -46.04 kcal/mol of atoms
# symmetry = No. 121

Entry 8:
# NbTc2Ag (PBE, relaxed)
data_NbTc2Ag
_chemical_formula_sum 'Nb2 Tc4 Ag2'
_cell_length_a 3.911
_cell_length_b 3.911
_cell_length_c 9.840
_cell_angle_alpha 78.54
_cell_angle_beta 78.54
_cell_angle_gamma 90.00
_space_group_name_H-M_alt 'P 1'
_space_group_IT_number 1
loop_
_space_group_symop_operation_xyz
'x,y,z'
loop_
_atom_site_label
_atom_site_fract_x
_atom_site_fract_y
_atom_site_fract_z
Nb1 0.250 0.750 0.500
Nb2 0.500 0.500 0.000
Tc1 0.564 0.125 0.250
Tc2 0.875 0.814 0.750
Tc3 0.375 0.436 0.750
Tc4 0.186 0.625 0.250
Ag1 0.000 0.000 0.000
Ag2 0.750 0.250 0.500
# energy of formation from the pure elements = 819 meV/atom
# symmetry = No. 122
# offset from the most stable computed form = 0.4389 eV per atom